P.
LiZrZn2, optimized geometry, DFT GGA-PBEsol; crystal system = orthorhombic; magnetic moment = 0.00 μB per cell; D(E_F) = 2.0 states/eV per cell
1.0
2.8660 0.0000 0.0000
0.0000 4.5725 0.0000
0.0000 0.0000 5.0453
Li Zr Zn
1 1 2
Cartesian
0.0000 0.0000 0.0000
0.0000 2.2863 2.0069
1.4330 0.0000 2.7785
1.4330 2.2863 4.4824

=====

Q.
LiZrZn2, optimized geometry, DFT GGA-PBEsol; crystal system = cubic; magnetic moment = 0.00 μB per cell; D(E_F) = 7.1 states/eV per cell
1.0
6.3499 0.0000 0.0000
0.0000 6.3499 0.0000
0.0000 0.0000 6.3499
Li Zr Zn
4 4 8
Cartesian
0.0000 0.0000 0.0000
0.0000 3.1750 3.1750
3.1750 0.0000 3.1750
3.1750 3.1750 0.0000
0.0000 0.0000 3.1750
0.0000 3.1750 0.0000
3.1750 0.0000 0.0000
3.1750 3.1750 3.1750
1.5875 1.5875 1.5875
1.5875 1.5875 4.7624
1.5875 4.7624 1.5875
1.5875 4.7624 4.7624
4.7624 1.5875 1.5875
4.7624 1.5875 4.7624
4.7624 4.7624 1.5875
4.7624 4.7624 4.7624

=====

R.
LiZrZn2, optimized geometry, DFT GGA-PBEsol; crystal system = orthorhombic; magnetic moment = 0.00 μB per cell; D(E_F) = 2.5 states/eV per cell
1.0
2.9576 0.0000 0.0000
0.0000 3.1478 0.0000
0.0000 0.0000 6.8087
Li Zr Zn
1 1 2
Cartesian
0.0000 0.0000 0.0000
0.0000 0.0000 3.4044
1.4788 1.5739 1.4965
1.4788 1.5739 5.3122

=====

Energies relative to the most stable structure are P 0.049; Q 0.006; R 0.000, reported in eV/atom.

=====

P.
LiZr3, optimized geometry, DFT GGA-PBEsol; crystal system = tetragonal; magnetic moment = 0.00 μB per cell; D(E_F) = 3.2 states/eV per cell
1.0
3.1539 0.0000 0.0000
0.0000 3.1539 0.0000
0.0000 0.0000 8.4413
Li Zr
1 3
Cartesian
0.0000 0.0000 0.0000
0.0000 0.0000 4.2206
1.5769 1.5769 2.0680
1.5769 1.5769 6.3733

=====

Q.
LiZr3, optimized geometry, DFT GGA-PBEsol; crystal system = trigonal; magnetic moment = 0.00 μB per cell; D(E_F) = 13.9 states/eV per cell
1.0
3.1036 0.0000 0.0000
-1.5518 2.6878 0.0000
0.0000 0.0000 31.5879
Li Zr
3 9
Cartesian
0.0000 0.0000 0.0000
0.0000 1.7919 21.0586
1.5518 0.8959 10.5293
0.0000 0.0000 7.8220
0.0000 0.0000 15.7939
0.0000 0.0000 23.7659
0.0000 1.7919 5.2647
0.0000 1.7919 13.2366
0.0000 1.7919 28.8806
1.5518 0.8959 2.7073
1.5518 0.8959 18.3513
1.5518 0.8959 26.3232

=====

Energies relative to the most stable structure are P 0.000; Q 0.020, reported in eV/atom.